Entry 1:
The following is a PBE calculation of an optimized crystal structure of Zr2SiP, from Alexandria via LeMat-Bulk.

Cell and atoms, written as POSCAR:
```
Zr2SiP
1.0
3.268 -1.891 0.000
3.268 1.891 0.000
-2.177 0.000 6.202
Zr Si P
2 1 1
direct
0.248 0.248 0.245
0.752 0.752 0.755
0.000 0.000 0.500
0.500 0.500 0.000
```

## Properties
D(E_F): 0.4188 states/eV per atom
Space-group type: C2/m (12)
Calculated total energy: -8.00 eV per atom
Formation energy without anion corrections: -1.020 eV/atom
Mass density: 5.231 g cm⁻³
Distance to the lowest polymorph of the same formula: 7 meV per atom

Entry 2:
The following is a PBE calculation of an optimized crystal structure of ZrSi2P, from Alexandria via LeMat-Bulk.

Cell and atoms, written as POSCAR:
```
ZrSi2P
1.0
-1.863 1.863 4.700
1.863 -1.863 4.700
1.863 1.863 -4.700
Zr Si P
1 2 1
direct
0.000 0.000 0.000
0.250 0.750 0.500
0.750 0.250 0.500
0.500 0.500 0.000
```

## Properties
D(E_F): 0.5976 states/eV per atom
Space-group type: I4/mmm (139)
Calculated total energy: -6.47 eV per atom
Formation energy without anion corrections: -0.272 eV/atom
Mass density: 4.538 g cm⁻³

Entry 3:
The following is a PBE calculation of an optimized crystal structure of Zr2SiP, from Alexandria via LeMat-Bulk.

Cell and atoms, written as POSCAR:
```
Zr2SiP
1.0
3.212 -3.639 0.000
3.212 3.639 0.000
-0.851 0.000 3.128
Zr Si P
2 1 1
direct
0.000 0.500 0.000
0.500 0.000 0.000
0.000 0.000 0.500
0.500 0.500 0.500
```

## Properties
D(E_F): 0.4939 states/eV per atom
Space-group type: C2/m (12)
Calculated total energy: -7.71 eV per atom
Formation energy without anion corrections: -0.728 eV/atom
Mass density: 5.484 g cm⁻³
Distance to the lowest polymorph of the same formula: 299 meV per atom

Entry 4:
The following is a PBE calculation of an optimized crystal structure of ZrSi2P, from Alexandria via LeMat-Bulk.

Cell and atoms, written as POSCAR:
```
ZrSi2P
1.0
1.829 -2.393 0.000
1.829 2.393 0.000
0.000 0.000 7.638
Zr Si P
1 2 1
direct
0.000 0.000 0.000
0.000 0.000 0.504
0.500 0.500 0.268
0.500 0.500 0.754
```

## Properties
D(E_F): 0.5303 states/eV per atom
Space-group type: Cmm2 (35)
Calculated total energy: -6.23 eV per atom
Formation energy without anion corrections: -0.026 eV/atom
Mass density: 4.430 g cm⁻³

Entry 5:
The following is a PBE calculation of an optimized crystal structure of ZrSi2P, from Alexandria via LeMat-Bulk.

Cell and atoms, written as POSCAR:
```
ZrSi2P
1.0
1.497 0.864 10.022
-1.497 0.864 10.022
0.000 -1.728 10.022
Zr Si P
1 2 1
direct
0.000 0.000 0.000
0.257 0.257 0.257
0.528 0.528 0.528
0.739 0.739 0.739
```

## Properties
D(E_F): 0.4031 states/eV per atom
Space-group type: R3m (160)
Calculated total energy: -5.98 eV per atom
Formation energy without anion corrections: 0.221 eV/atom
Mass density: 3.808 g cm⁻³

Entry 6:
The following is a PBE calculation of an optimized crystal structure of Zr2SiP, from Alexandria via LeMat-Bulk.

Cell and atoms, written as POSCAR:
```
Zr2SiP
1.0
3.226 0.000 0.000
0.000 3.651 0.000
-1.524 0.000 6.209
Zr Si P
2 1 1
direct
0.233 0.000 0.254
0.767 0.000 0.746
0.500 0.500 0.000
0.000 0.500 0.500
```

## Properties
D(E_F): 0.4550 states/eV per atom
Space-group type: P2/m (10)
Calculated total energy: -7.72 eV per atom
Formation energy without anion corrections: -0.734 eV/atom
Mass density: 5.483 g cm⁻³
Distance to the lowest polymorph of the same formula: 293 meV per atom

Entry 7:
The following is a PBE calculation of an optimized crystal structure of ZrSiP2, from Alexandria via LeMat-Bulk.

Cell and atoms, written as POSCAR:
```
ZrSiP2
1.0
1.809 1.045 6.592
-1.809 1.045 6.592
0.000 -2.089 6.592
Zr Si P
1 1 2
direct
0.000 0.000 0.000
0.765 0.765 0.765
0.258 0.258 0.258
0.483 0.483 0.483
```

## Properties
D(E_F): 0.2536 states/eV per atom
Space-group type: R3m (160)
Calculated total energy: -6.47 eV per atom
Formation energy without anion corrections: -0.270 eV/atom
Mass density: 4.026 g cm⁻³

Entry 8:
The following is a PBE calculation of an optimized crystal structure of Zr4SiP, from Alexandria via LeMat-Bulk.

Cell and atoms, written as POSCAR:
```
Zr4SiP
1.0
0.000 3.974 3.974
3.974 0.000 3.974
3.974 3.974 0.000
Zr Si P
4 1 1
direct
0.376 0.376 0.376
0.376 0.376 0.873
0.376 0.873 0.376
0.873 0.376 0.376
0.750 0.750 0.750
0.000 0.000 0.000
```

## Properties
D(E_F): 0.9483 states/eV per atom
Space-group type: F-43m (216)
Calculated total energy: -7.15 eV per atom
Formation energy without anion corrections: 0.350 eV/atom
Mass density: 5.608 g cm⁻³

Entry 9:
The following is a PBE calculation of an optimized crystal structure of ZrSi2P, from Alexandria via LeMat-Bulk.

Cell and atoms, written as POSCAR:
```
ZrSi2P
1.0
1.637 0.945 7.328
-1.637 0.945 7.328
0.000 -1.890 7.328
Zr Si P
1 2 1
direct
0.000 0.000 0.000
0.235 0.235 0.235
0.765 0.765 0.765
0.500 0.500 0.500
```

## Properties
D(E_F): 0.8112 states/eV per atom
Space-group type: R-3m (166)
Calculated total energy: -6.24 eV per atom
Formation energy without anion corrections: -0.040 eV/atom
Mass density: 4.355 g cm⁻³

Entry 10:
The following is a PBE calculation of an optimized crystal structure of ZrSiP2, from Alexandria via LeMat-Bulk.

Cell and atoms, written as POSCAR:
```
ZrSiP2
1.0
-3.007 3.007 4.613
3.007 -3.007 4.613
3.007 3.007 -4.613
Zr Si P
2 2 4
direct
0.000 0.000 0.000
0.750 0.250 0.500
0.250 0.750 0.500
0.500 0.500 0.000
0.173 0.625 0.048
0.375 0.423 0.548
0.577 0.125 0.952
0.875 0.827 0.452
```

## Properties
D(E_F): 0.9713 states/eV per atom
Space-group type: I-42d (122)
Calculated total energy: -6.45 eV per atom
Formation energy without anion corrections: -0.252 eV/atom
Mass density: 3.609 g cm⁻³

Entry 11:
The following is a PBE calculation of an optimized crystal structure of ZrSi2P, from Alexandria via LeMat-Bulk.

Cell and atoms, written as POSCAR:
```
ZrSi2P
1.0
4.277 0.000 0.000
0.000 4.277 0.000
0.000 0.000 3.601
Zr Si P
1 2 1
direct
0.000 0.000 0.000
0.000 0.500 0.500
0.500 0.000 0.500
0.500 0.500 0.000
```

## Properties
D(E_F): 0.5610 states/eV per atom
Space-group type: P4/mmm (123)
Calculated total energy: -6.24 eV per atom
Formation energy without anion corrections: -0.038 eV/atom
Mass density: 4.497 g cm⁻³

Entry 12:
The following is a PBE calculation of an optimized crystal structure of ZrSiP, from Alexandria via LeMat-Bulk.

Cell and atoms, written as POSCAR:
```
ZrSiP
1.0
0.000 3.142 3.142
3.142 0.000 3.142
3.142 3.142 0.000
Zr Si P
1 1 1
direct
0.000 0.000 0.000
0.250 0.250 0.250
0.750 0.750 0.750
```

## Properties
D(E_F): 1.4845 states/eV per atom
Space-group type: F-43m (216)
Calculated total energy: -6.40 eV per atom
Formation energy without anion corrections: 0.058 eV/atom
Mass density: 4.021 g cm⁻³

Entry 13:
The following is a PBE calculation of an optimized crystal structure of Zr2SiP, from Alexandria via LeMat-Bulk.

Cell and atoms, written as POSCAR:
```
Zr2SiP
1.0
-1.672 1.810 6.479
1.672 -1.810 6.479
1.672 1.810 -6.479
Zr Si P
2 1 1
direct
0.000 0.000 0.000
0.741 0.241 0.500
0.397 0.397 0.000
0.157 0.657 0.500
```

## Properties
D(E_F): 0.9226 states/eV per atom
Space-group type: Imm2 (44)
Calculated total energy: -7.77 eV per atom
Formation energy without anion corrections: -0.784 eV/atom
Mass density: 5.112 g cm⁻³
Distance to the lowest polymorph of the same formula: 242 meV per atom

Entry 14:
The following is a PBE calculation of an optimized crystal structure of Zr2SiP, from Alexandria via LeMat-Bulk.

Cell and atoms, written as POSCAR:
```
Zr2SiP
1.0
1.963 -2.550 0.000
1.963 2.550 0.000
0.000 0.000 7.298
Zr Si P
2 1 1
direct
0.000 0.000 0.241
0.000 0.000 0.759
0.500 0.500 0.500
0.500 0.500 0.000
```

## Properties
D(E_F): 0.6436 states/eV per atom
Space-group type: Cmmm (65)
Calculated total energy: -7.73 eV per atom
Formation energy without anion corrections: -0.747 eV/atom
Mass density: 5.489 g cm⁻³
Distance to the lowest polymorph of the same formula: 279 meV per atom